ZrNiPb4: relaxed, PBE.

a = 8.809 Å, b = 8.809 Å, c = 8.809 Å
α = 90.00°, β = 90.00°, γ = 90.00°
Space group F-43m (No. 216)
Unique sites:
Zr 0.000 0.000 0.000 [4 per cell]
Ni 0.250 0.250 0.750 [4 per cell]
Pb 0.125 0.125 0.375 [16 per cell]

**Electronic total energy**: -24.644 eV/f.u.
**Formation energy from the elements**: 753 meV per atom
**M_tot**: 0.58 Bohr magnetons per cell

***

ZrNiPb: relaxed, PBE.

a = 3.279 Å, b = 3.279 Å, c = 11.251 Å
α = 90.00°, β = 90.00°, γ = 90.00°
Space group I4mm (No. 107)
Unique sites:
Zr 0.000 0.000 0.000 [2 per cell]
Ni 0.000 0.000 0.620 [2 per cell]
Pb 0.000 0.000 0.287 [2 per cell]

**Electronic total energy**: -18.391 eV/f.u.
**Formation energy from the elements**: -118 meV per atom
**M_tot**: 0.00 Bohr magnetons per cell

***

ZrNiPb2: relaxed, PBE.

a = 3.336 Å, b = 4.322 Å, c = 6.168 Å
α = 90.00°, β = 96.42°, γ = 90.00°
Space group P2/m (No. 10)
Unique sites:
Zr 0.000 0.000 0.000 [1 per cell]
Ni 0.500 0.000 0.500 [1 per cell]
Pb 0.361 0.500 0.736 [2 per cell]

**Electronic total energy**: -21.255 eV/f.u.
**Formation energy from the elements**: 123 meV per atom
**M_tot**: 0.00 Bohr magnetons per cell

***

ZrNiPb2: relaxed, PBE.

a = 3.356 Å, b = 3.356 Å, c = 8.353 Å
α = 90.00°, β = 90.00°, γ = 90.00°
Space group P4mm (No. 99)
Unique sites:
Zr 0.000 0.000 0.000 [1 per cell]
Ni 0.500 0.500 0.149 [1 per cell]
Pb 0.000 0.000 0.383 [1 per cell]
Pb 0.500 0.500 0.727 [1 per cell]

**Electronic total energy**: -21.989 eV/f.u.
**Formation energy from the elements**: -61 meV per atom
**M_tot**: 0.00 Bohr magnetons per cell

***

ZrNiPb2: relaxed, PBE.

a = 4.305 Å, b = 5.445 Å, c = 7.412 Å
α = 90.00°, β = 90.00°, γ = 90.00°
Space group Cmmm (No. 65)
Unique sites:
Zr 0.000 0.000 0.000 [2 per cell]
Ni 0.000 0.000 0.500 [2 per cell]
Pb 0.000 0.500 0.283 [4 per cell]

**Electronic total energy**: -21.317 eV/f.u.
**Formation energy from the elements**: 107 meV per atom
**M_tot**: 0.00 Bohr magnetons per cell

***

ZrNiPb: relaxed, PBE.

a = 4.5180 Å, b = 4.5180 Å, c = 3.2853 Å
α = 90.00°, β = 90.00°, γ = 120.00°
Space group P3m1 (No. 156)
Unique sites:
Zr 0.0000 0.0000 0.0000 [1 per cell]
Ni 0.6667 0.3333 0.4922 [1 per cell]
Pb 0.3333 0.6667 0.5007 [1 per cell]

**Electronic total energy**: -18.428 eV/f.u.
**Formation energy from the elements**: -130 meV per atom
**M_tot**: 0.00 Bohr magnetons per cell

***

ZrNiPb2: relaxed, PBE.

a = 4.407 Å, b = 4.407 Å, c = 19.855 Å
α = 90.00°, β = 90.00°, γ = 90.00°
Space group I-42d (No. 122)
Unique sites:
Zr 0.000 0.000 0.000 [4 per cell]
Ni 0.000 0.000 0.500 [4 per cell]
Pb 0.236 0.250 0.625 [8 per cell]

**Electronic total energy**: -20.253 eV/f.u.
**Formation energy from the elements**: 373 meV per atom
**M_tot**: 0.00 Bohr magnetons per cell

***

ZrNiPb2: relaxed, PBE.

a = 11.504 Å, b = 3.335 Å, c = 5.179 Å
α = 90.00°, β = 115.52°, γ = 90.00°
Space group Cm (No. 8)
Unique sites:
Zr 0.000 0.000 0.000 [2 per cell]
Ni 0.188 0.500 0.284 [2 per cell]
Pb 0.215 0.000 0.763 [2 per cell]
Pb 0.427 0.000 0.435 [2 per cell]

**Electronic total energy**: -21.504 eV/f.u.
**Formation energy from the elements**: 61 meV per atom
**M_tot**: 0.00 Bohr magnetons per cell

***

ZrNiPb2: relaxed, PBE.

a = 4.351 Å, b = 4.351 Å, c = 9.366 Å
α = 90.00°, β = 90.00°, γ = 90.00°
Space group I4/mmm (No. 139)
Unique sites:
Zr 0.000 0.000 0.000 [2 per cell]
Ni 0.000 0.000 0.500 [2 per cell]
Pb 0.000 0.500 0.250 [4 per cell]

**Electronic total energy**: -20.685 eV/f.u.
**Formation energy from the elements**: 265 meV per atom
**M_tot**: 1.51 Bohr magnetons per cell

***

ZrNiPb2: relaxed, PBE.

a = 7.052 Å, b = 7.052 Å, c = 7.052 Å
α = 90.00°, β = 90.00°, γ = 90.00°
Space group Fm-3m (No. 225)
Unique sites:
Zr 0.000 0.000 0.000 [4 per cell]
Ni 0.000 0.000 0.500 [4 per cell]
Pb 0.250 0.250 0.250 [8 per cell]

**Electronic total energy**: -20.559 eV/f.u.
**Formation energy from the elements**: 297 meV per atom
**M_tot**: 2.24 Bohr magnetons per cell

***

Ni5Pd2: relaxed, PBE.

a = 6.321 Å, b = 10.923 Å, c = 5.092 Å
α = 90.00°, β = 90.00°, γ = 90.00°
Space group Ibam (No. 72)
Unique sites:
Ni 0.000 0.000 0.250 [4 per cell]
Ni 0.000 0.224 0.250 [8 per cell]
Ni 0.226 0.367 0.000 [8 per cell]
Pd 0.180 0.401 0.500 [8 per cell]

**Electronic total energy**: -38.606 eV/f.u.
**Formation energy from the elements**: 98 meV per atom
**M_tot**: 16.42 Bohr magnetons per cell

***

Ni2Pd: relaxed, PBE.

a = 6.697 Å, b = 6.697 Å, c = 6.697 Å
α = 90.00°, β = 90.00°, γ = 90.00°
Space group Fd-3m (No. 227, origin choice 2)
Unique sites:
Ni 0.000 0.000 0.000 [16 per cell]
Pd 0.125 0.125 0.625 [8 per cell]

**Electronic total energy**: -16.592 eV/f.u.
**Formation energy from the elements**: 55 meV per atom
**M_tot**: 10.71 Bohr magnetons per cell

***

NiPd2: relaxed, PBE.

a = 2.758 Å, b = 2.758 Å, c = 11.080 Å
α = 90.00°, β = 90.00°, γ = 90.00°
Space group I4/mmm (No. 139)
Unique sites:
Ni 0.000 0.000 0.000 [2 per cell]
Pd 0.000 0.000 0.343 [4 per cell]

**Electronic total energy**: -16.145 eV/f.u.
**Formation energy from the elements**: 7 meV per atom
**M_tot**: 3.00 Bohr magnetons per cell

***

Ni5Pd6: relaxed, PBE.

a = 7.586 Å, b = 9.647 Å, c = 4.485 Å
α = 90.00°, β = 111.39°, γ = 90.00°
Space group C2/m (No. 12)
Unique sites:
Ni 0.000 0.000 0.000 [2 per cell]
Ni 0.000 0.127 0.500 [4 per cell]
Ni 0.000 0.264 0.000 [4 per cell]
Pd 0.190 0.500 0.163 [4 per cell]
Pd 0.194 0.350 0.666 [8 per cell]

**Electronic total energy**: -58.733 eV/f.u.
**Formation energy from the elements**: 121 meV per atom
**M_tot**: 11.50 Bohr magnetons per cell

***

Ni2Pd13: relaxed, PBE.

a = 4.800 Å, b = 6.765 Å, c = 7.326 Å
α = 71.70°, β = 83.99°, γ = 89.82°
Space group P-1 (No. 2)
Unique sites:
Ni 0.067 0.133 0.100 [2 per cell]
Pd 0.000 0.000 0.500 [1 per cell]
Pd 0.134 0.255 0.712 [2 per cell]
Pd 0.198 0.398 0.300 [2 per cell]
Pd 0.263 0.529 0.902 [2 per cell]
Pd 0.333 0.666 0.498 [2 per cell]
Pd 0.389 0.806 0.094 [2 per cell]
Pd 0.469 0.930 0.703 [2 per cell]

**Electronic total energy**: -78.694 eV/f.u.
**Formation energy from the elements**: 25 meV per atom
**M_tot**: 6.23 Bohr magnetons per cell

***

Ni4Pd: relaxed, PBE.

a = 4.509 Å, b = 4.509 Å, c = 4.509 Å
α = 90.00°, β = 90.00°, γ = 90.00°
Space group Pm-3m (No. 221)
Unique sites:
Ni 0.000 0.000 0.000 [1 per cell]
Ni 0.000 0.500 0.500 [3 per cell]
Pd 0.500 0.500 0.500 [1 per cell]

**Electronic total energy**: -20.585 eV/f.u.
**Formation energy from the elements**: 1547 meV per atom
**M_tot**: 3.86 Bohr magnetons per cell

***

Ni13Pd2: relaxed, PBE.

a = 6.102 Å, b = 6.140 Å, c = 6.149 Å
α = 116.65°, β = 116.89°, γ = 91.43°
Space group P-1 (No. 2)
Unique sites:
Ni 0.000 0.000 0.000 [1 per cell]
Ni 0.066 0.711 0.195 [2 per cell]
Ni 0.119 0.151 0.491 [2 per cell]
Ni 0.274 0.426 0.360 [2 per cell]
Ni 0.321 0.139 0.929 [2 per cell]
Ni 0.452 0.605 0.189 [2 per cell]
Ni 0.483 0.077 0.345 [2 per cell]
Pd 0.198 0.659 0.776 [2 per cell]

**Electronic total energy**: -84.223 eV/f.u.
**Formation energy from the elements**: 88 meV per atom
**M_tot**: 8.97 Bohr magnetons per cell

***

Ni3Pd7: relaxed, PBE.

a = 13.859 Å, b = 3.856 Å, c = 5.460 Å
α = 90.00°, β = 102.22°, γ = 90.00°
Space group C2/m (No. 12)
Unique sites:
Ni 0.000 0.000 0.000 [2 per cell]
Ni 0.200 0.000 0.604 [4 per cell]
Pd 0.000 0.000 0.500 [2 per cell]
Pd 0.097 0.500 0.812 [4 per cell]
Pd 0.106 0.500 0.316 [4 per cell]
Pd 0.202 0.000 0.114 [4 per cell]

**Electronic total energy**: -53.307 eV/f.u.
**Formation energy from the elements**: 39 meV per atom
**M_tot**: 10.20 Bohr magnetons per cell

***

Ni3Pd2: relaxed, PBE.

a = 2.6586 Å, b = 2.6586 Å, c = 31.7353 Å
α = 90.00°, β = 90.00°, γ = 120.00°
Space group R-3m (No. 166, hexagonal axes)
Unique sites:
Ni 0.0000 0.0000 0.0000 [3 per cell]
Ni 0.0000 0.0000 0.3941 [6 per cell]
Pd 0.0000 0.0000 0.2047 [6 per cell]

**Electronic total energy**: -27.358 eV/f.u.
**Formation energy from the elements**: 74 meV per atom
**M_tot**: 7.88 Bohr magnetons per cell

***

Ni2Pd: relaxed, PBE.

a = 2.648 Å, b = 2.648 Å, c = 10.710 Å
α = 90.00°, β = 90.00°, γ = 90.00°
Space group I4/mmm (No. 139)
Unique sites:
Ni 0.000 0.000 0.176 [4 per cell]
Pd 0.000 0.000 0.500 [2 per cell]

**Electronic total energy**: -16.640 eV/f.u.
**Formation energy from the elements**: 38 meV per atom
**M_tot**: 3.11 Bohr magnetons per cell

***

Ni2Pd: relaxed, PBE.

a = 2.646 Å, b = 3.590 Å, c = 7.921 Å
α = 90.00°, β = 90.00°, γ = 90.00°
Space group Immm (No. 71)
Unique sites:
Ni 0.000 0.000 0.173 [4 per cell]
Pd 0.000 0.000 0.500 [2 per cell]

**Electronic total energy**: -16.623 eV/f.u.
**Formation energy from the elements**: 44 meV per atom
**M_tot**: 3.34 Bohr magnetons per cell

***

Ni3Pd4: relaxed, PBE.

a = 8.598 Å, b = 3.731 Å, c = 6.021 Å
α = 90.00°, β = 97.67°, γ = 90.00°
Space group C2/m (No. 12)
Unique sites:
Ni 0.000 0.000 0.000 [2 per cell]
Ni 0.142 0.000 0.429 [4 per cell]
Pd 0.073 0.500 0.709 [4 per cell]
Pd 0.209 0.500 0.150 [4 per cell]

**Electronic total energy**: -37.814 eV/f.u.
**Formation energy from the elements**: 43 meV per atom
**M_tot**: 7.32 Bohr magnetons per cell

***

Ni2Pd5: relaxed, PBE.

a = 2.748 Å, b = 2.748 Å, c = 26.358 Å
α = 90.00°, β = 90.00°, γ = 90.00°
Space group I4/mmm (No. 139)
Unique sites:
Ni 0.000 0.000 0.222 [4 per cell]
Pd 0.000 0.000 0.077 [4 per cell]
Pd 0.000 0.000 0.345 [4 per cell]
Pd 0.000 0.000 0.500 [2 per cell]

**Electronic total energy**: -37.414 eV/f.u.
**Formation energy from the elements**: 16 meV per atom
**M_tot**: 5.79 Bohr magnetons per cell

***

Ni3Pd7: relaxed, PBE.

a = 7.5248 Å, b = 7.5248 Å, c = 6.0581 Å
α = 90.00°, β = 90.00°, γ = 120.00°
Space group P6_3mc (No. 186)
Unique sites:
Ni 0.2176 0.4352 0.0000 [6 per cell]
Pd 0.0757 0.5378 0.6753 [6 per cell]
Pd 0.1225 0.2450 0.3812 [6 per cell]
Pd 0.3333 0.6667 0.3317 [2 per cell]

**Electronic total energy**: -52.260 eV/f.u.
**Formation energy from the elements**: 143 meV per atom
**M_tot**: 9.47 Bohr magnetons per cell

***

Ni5Pd7: relaxed, PBE.

a = 13.707 Å, b = 2.744 Å, c = 10.906 Å
α = 90.00°, β = 126.53°, γ = 90.00°
Space group C2/m (No. 12)
Unique sites:
Ni 0.000 0.000 0.000 [2 per cell]
Ni 0.004 0.000 0.266 [4 per cell]
Ni 0.170 0.500 0.500 [4 per cell]
Pd 0.000 0.000 0.500 [2 per cell]
Pd 0.151 0.500 0.985 [4 per cell]
Pd 0.156 0.500 0.252 [4 per cell]
Pd 0.172 0.500 0.752 [4 per cell]

**Electronic total energy**: -64.764 eV/f.u.
**Formation energy from the elements**: 41 meV per atom
**M_tot**: 12.69 Bohr magnetons per cell

***

NiPd2: relaxed, PBE.

a = 5.784 Å, b = 5.784 Å, c = 5.784 Å
α = 90.00°, β = 90.00°, γ = 90.00°
Space group Fm-3m (No. 225)
Unique sites:
Ni 0.000 0.000 0.000 [4 per cell]
Pd 0.250 0.250 0.250 [8 per cell]

**Electronic total energy**: -15.193 eV/f.u.
**Formation energy from the elements**: 325 meV per atom
**M_tot**: 6.77 Bohr magnetons per cell